# 1
Material: ThH9Rh2
Method: DFT, GGA-PBE
State: relaxed

Properties
E	-4.3146	eV/atom
volume	8.1	A^3/atom

Unit cell a=6.727 b=6.727 c=6.727 alpha=97.74 beta=97.74 gamma=136.93
Positions (direct):
Th (0.375, 0.625, 0.750)
Th (0.625, 0.375, 0.250)
H (0.125, 0.875, 0.250)
H (0.156, 0.283, 0.392)
H (0.156, 0.764, 0.873)
H (0.236, 0.609, 0.392)
H (0.236, 0.844, 0.627)
H (0.283, 0.156, 0.892)
H (0.283, 0.391, 0.127)
H (0.391, 0.283, 0.627)
H (0.391, 0.764, 0.108)
H (0.609, 0.236, 0.892)
H (0.609, 0.717, 0.373)
H (0.717, 0.609, 0.873)
H (0.717, 0.844, 0.108)
H (0.764, 0.156, 0.373)
H (0.764, 0.391, 0.608)
H (0.844, 0.236, 0.127)
H (0.844, 0.717, 0.608)
H (0.875, 0.125, 0.750)
Rh (0.000, 0.000, 0.000)
Rh (0.000, 0.000, 0.500)
Rh (0.000, 0.500, 0.000)
Rh (0.500, 0.000, 0.500)

=====

# 2
Material: ThH11Rh5
Method: DFT, GGA-PBE
State: relaxed

Properties
E	-4.8543	eV/atom
volume	9.0	A^3/atom

Unit cell a=4.887 b=4.887 c=7.212 alpha=100.68 beta=100.68 gamma=109.98
Positions (direct):
Th (0.000, 0.000, 0.000)
H (0.000, 0.000, 0.500)
H (0.040, 0.736, 0.667)
H (0.123, 0.509, 0.910)
H (0.264, 0.960, 0.333)
H (0.411, 0.411, 0.705)
H (0.491, 0.877, 0.090)
H (0.509, 0.123, 0.910)
H (0.589, 0.589, 0.295)
H (0.736, 0.040, 0.667)
H (0.877, 0.491, 0.090)
H (0.960, 0.264, 0.333)
Rh (0.029, 0.381, 0.667)
Rh (0.381, 0.029, 0.667)
Rh (0.500, 0.500, 0.000)
Rh (0.619, 0.971, 0.333)
Rh (0.971, 0.619, 0.333)

=====

# 3
Material: ThH4Rh3
Method: DFT, GGA-PBE
State: relaxed

Properties
E	-5.6933	eV/atom
volume	10.5	A^3/atom

Unit cell a=5.522 b=5.522 c=5.522 alpha=90.00 beta=90.00 gamma=90.00
Positions (direct):
Th (0.000, 0.000, 0.000)
Th (0.500, 0.500, 0.500)
H (0.250, 0.250, 0.250)
H (0.250, 0.250, 0.750)
H (0.250, 0.750, 0.250)
H (0.250, 0.750, 0.750)
H (0.750, 0.250, 0.250)
H (0.750, 0.250, 0.750)
H (0.750, 0.750, 0.250)
H (0.750, 0.750, 0.750)
Rh (0.000, 0.250, 0.500)
Rh (0.000, 0.750, 0.500)
Rh (0.250, 0.500, 0.000)
Rh (0.500, 0.000, 0.250)
Rh (0.500, 0.000, 0.750)
Rh (0.750, 0.500, 0.000)

=====

Which formula does entry 2 have?
ThH11Rh5